(1)
Material: HgBPd3
Method: DFT, PBE
State: relaxed

Cell: 12.1294 8.7375 5.7694 Å, 90.00 104.11 90.00°
Space group C2/c (No. 15)
Unique sites:
Hg: 0.0000 0.0011 0.2500 (multiplicity 4)
Hg: 0.0000 0.3476 0.2500 (multiplicity 4)
B: 0.0753 0.3397 0.7790 (multiplicity 8)
Pd: 0.1607 0.1783 0.0692 (multiplicity 8)
Pd: 0.1634 0.1796 0.5893 (multiplicity 8)
Pd: 0.1708 0.4998 0.0868 (multiplicity 8)

Output
As for the relative energy among the computed polymorphs: 154 meV/atom. The calculation puts the energy relative to the elements at -25 meV/atom. The value obtained for the calculated total energy is -22.69 eV per formula unit.

***

(2)
Material: HgBPd3
Method: DFT, PBE
State: relaxed

Cell: 9.7079 5.6186 2.8702 Å, 90.00 106.22 90.00°
Space group Cm (No. 8)
Unique sites:
Hg: 0.0000 0.0000 0.0000 (multiplicity 2)
B: 0.3573 0.0000 0.8521 (multiplicity 2)
Pd: 0.0333 0.5000 0.5138 (multiplicity 2)
Pd: 0.2670 0.2493 0.2690 (multiplicity 4)

Output
As for the relative energy among the computed polymorphs: 38 meV/atom. The calculation puts the energy relative to the elements at -141 meV/atom. The value obtained for the calculated total energy is -23.26 eV per formula unit.